DFT (PBE-GGA) results for a geometry-optimized NaGa2CoGe structure.

Unit cell a=4.6230 b=4.6230 c=4.5550 alpha=90.00 beta=90.00 gamma=90.00
Closest atoms and distances in Å follow each position.
Atoms (fractional coordinates):
Ge (0.0000, 0.0000, 0.5000)  2 Co 2.28
Ga (0.5000, 0.0000, 0.0000)  2 Co 2.31
Ga (0.0000, 0.5000, 0.0000)  2 Co 2.31
Co (0.0000, 0.0000, 0.0000)  2 Ge 2.28, 4 Ga 2.31
Na (0.5000, 0.5000, 0.5000)  8 Ga 3.25, 4 Ge 3.27

Output
**Formation energy from the elements**: -0.079 eV/atom
**Mass density**: 5.01 g cm⁻³
**Calculated total energy**: -19.492 eV for the cell shown